The following is a DFT calculation (GGA-PBEsol) of a geometry-optimized K3Tl2 structure.

Results
**Spin magnetization**: 0.00 μB per formula unit
**E_tot**: -1.731 eV per atom
**Energy relative to the elements**: 0.00 eV/atom

a b c (Å): 5.8256 5.8256 7.2638
angles (deg): 90.00 90.00 120.00
Space group P-3m1 (No. 164)
One atom of each set of equivalent atoms:
K (0.0000, 0.0000, 0.0000)
K (0.3333, 0.6667, 0.3676)
Tl (0.3333, 0.6667, 0.9061)